Model one:
! CuPSe3 (PBE, optimized geometry); values from VASP
! * calculated density: 5.23 g/cm3
! * space group: No. 221
! * total magnetization: 0.00 μB/f.u.
&SYSTEM
  ibrav = 0, nat = 5, ntyp = 3
/
ATOMIC_SPECIES
P 30.97 P.upf
Cu 63.55 Cu.upf
Se 78.96 Se.upf
CELL_PARAMETERS angstrom
4.722 0.000 0.000
0.000 4.722 0.000
0.000 0.000 4.722
ATOMIC_POSITIONS crystal
P 0.500 0.500 0.500
Cu 0.000 0.000 0.000
Se 0.000 0.500 0.000
Se 0.000 0.000 0.500
Se 0.500 0.000 0.000

---

Model two:
! CuPSe3 (PBE, optimized geometry); values from VASP
! * calculated density: 4.54 g/cm3
! * space group: No. 148
! * total magnetization: 0.00 μB/f.u.
&SYSTEM
  ibrav = 0, nat = 10, ntyp = 3
/
ATOMIC_SPECIES
Cu 63.55 Cu.upf
P 30.97 P.upf
Se 78.96 Se.upf
CELL_PARAMETERS angstrom
5.615 0.000 2.670
2.172 5.178 2.670
-0.393 -0.262 8.065
ATOMIC_POSITIONS crystal
Cu 0.833 0.833 0.500
Cu 0.167 0.167 0.500
P 0.552 0.552 0.345
P 0.448 0.448 0.655
Se 0.229 0.922 0.273
Se 0.922 0.576 0.273
Se 0.576 0.229 0.273
Se 0.771 0.078 0.727
Se 0.078 0.424 0.727
Se 0.424 0.771 0.727

---

Model three:
! CuPSe3 (PBE, optimized geometry); values from VASP
! * calculated density: 4.26 g/cm3
! * space group: No. 12
! * total magnetization: 0.00 μB/f.u.
&SYSTEM
  ibrav = 0, nat = 10, ntyp = 3
/
ATOMIC_SPECIES
Cu 63.55 Cu.upf
P 30.97 P.upf
Se 78.96 Se.upf
CELL_PARAMETERS angstrom
-4.541 0.464 4.787
-2.034 -4.951 3.120
3.203 1.178 7.359
ATOMIC_POSITIONS crystal
Cu 0.678 0.644 0.000
Cu 0.322 0.356 0.000
P 0.048 0.000 0.851
P 0.952 0.000 0.149
Se 0.728 0.000 0.810
Se 0.272 0.000 0.190
Se 0.061 0.353 0.761
Se 0.414 0.647 0.761
Se 0.939 0.647 0.239
Se 0.586 0.353 0.239

---

Model four:
! CuPSe3 (PBE, optimized geometry); values from VASP
! * calculated density: 4.92 g/cm3
! * space group: No. 221
! * total magnetization: 0.00 μB/f.u.
&SYSTEM
  ibrav = 0, nat = 5, ntyp = 3
/
ATOMIC_SPECIES
P 30.97 P.upf
Cu 63.55 Cu.upf
Se 78.96 Se.upf
CELL_PARAMETERS angstrom
4.819 0.000 0.000
0.000 4.819 0.000
0.000 0.000 4.819
ATOMIC_POSITIONS crystal
P 0.000 0.000 0.000
Cu 0.500 0.500 0.500
Se 0.000 0.500 0.000
Se 0.000 0.000 0.500
Se 0.500 0.000 0.000

---

Relative energies, in meV/atom, with the most stable structure set to zero: model one 867; model two 10; model three 0; model four 768.

---

Model one:
! CuP2Se6 (PBE, optimized geometry); values from VASP
! * calculated density: 4.32 g/cm3
! * space group: No. 15
! * total magnetization: 0.00 μB/f.u.
&SYSTEM
  ibrav = 0, nat = 18, ntyp = 3
/
ATOMIC_SPECIES
Cu 63.55 Cu.upf
P 30.97 P.upf
Se 78.96 Se.upf
CELL_PARAMETERS angstrom
6.035 0.405 0.392
2.270 8.907 -0.658
2.270 -0.369 8.924
ATOMIC_POSITIONS crystal
Cu 0.250 0.211 0.789
Cu 0.750 0.789 0.211
P 0.202 0.637 0.802
P 0.298 0.198 0.363
P 0.798 0.363 0.198
P 0.702 0.802 0.637
Se 0.413 0.716 0.582
Se 0.087 0.418 0.284
Se 0.587 0.284 0.418
Se 0.913 0.582 0.716
Se 0.898 0.850 0.412
Se 0.602 0.588 0.150
Se 0.102 0.150 0.588
Se 0.398 0.412 0.850
Se 0.089 0.822 0.999
Se 0.411 0.001 0.178
Se 0.911 0.178 0.001
Se 0.589 0.999 0.822

---

Model two:
! CuP2Se6 (PBE, optimized geometry); values from VASP
! * calculated density: 3.67 g/cm3
! * space group: No. 164
! * total magnetization: 0.00 μB/f.u.
&SYSTEM
  ibrav = 0, nat = 9, ntyp = 3
/
ATOMIC_SPECIES
Cu 63.55 Cu.upf
P 30.97 P.upf
Se 78.96 Se.upf
CELL_PARAMETERS angstrom
-0.822 6.247 4.191
-3.033 -3.429 4.517
6.390 0.685 0.233
ATOMIC_POSITIONS crystal
Cu 0.000 0.000 0.000
P 0.951 0.333 0.667
P 0.049 0.667 0.333
Se 0.776 0.670 0.835
Se 0.776 0.165 0.835
Se 0.776 0.165 0.330
Se 0.224 0.330 0.165
Se 0.224 0.835 0.165
Se 0.224 0.835 0.670

---

Relative energies, in meV/atom, with the most stable structure set to zero: model one 0; model two 154.

---

Model one:
! CuSiP (PBE, optimized geometry); values from VASP
! * calculated density: 4.89 g/cm3
! * space group: No. 107
! * total magnetization: 0.00 μB/f.u.
&SYSTEM
  ibrav = 0, nat = 3, ntyp = 3
/
ATOMIC_SPECIES
Cu 63.55 Cu.upf
P 30.97 P.upf
Si 28.09 Si.upf
CELL_PARAMETERS angstrom
6.018 0.133 0.000
4.727 3.727 0.000
-5.372 -1.930 1.910
ATOMIC_POSITIONS crystal
Cu 0.999 0.999 0.000
P 0.346 0.346 0.000
Si 0.655 0.655 0.000

---

Model two:
! CuSiP (PBE, optimized geometry); values from VASP
! * calculated density: 4.27 g/cm3
! * space group: No. 62
! * total magnetization: 0.00 μB/f.u.
&SYSTEM
  ibrav = 0, nat = 12, ntyp = 3
/
ATOMIC_SPECIES
P 30.97 P.upf
Si 28.09 Si.upf
Cu 63.55 Cu.upf
CELL_PARAMETERS angstrom
3.411 0.000 0.000
0.000 6.836 0.000
0.000 0.000 8.181
ATOMIC_POSITIONS crystal
P 0.250 0.471 0.673
P 0.750 0.029 0.173
P 0.750 0.529 0.327
P 0.250 0.971 0.827
Si 0.250 0.700 0.461
Si 0.750 0.800 0.961
Si 0.750 0.300 0.539
Si 0.250 0.200 0.039
Cu 0.250 0.030 0.384
Cu 0.750 0.470 0.884
Cu 0.750 0.970 0.616
Cu 0.250 0.530 0.116

---

Relative energies, in meV/atom, with the most stable structure set to zero: model one 251; model two 0.

---

Model one:
! Cu3SiP (PBE, optimized geometry); values from VASP
! * calculated density: 4.89 g/cm3
! * space group: No. 221
! * total magnetization: 0.00 μB/f.u.
&SYSTEM
  ibrav = 0, nat = 5, ntyp = 3
/
ATOMIC_SPECIES
P 30.97 P.upf
Si 28.09 Si.upf
Cu 63.55 Cu.upf
CELL_PARAMETERS angstrom
-2.280 -3.138 2.062
3.258 -2.852 -0.739
1.867 1.146 3.808
ATOMIC_POSITIONS crystal
P 0.500 0.500 0.500
Si 0.000 0.000 0.000
Cu 0.000 0.500 0.000
Cu 0.000 0.000 0.500
Cu 0.500 0.000 0.000

---

Model two:
! Cu3SiP (PBE, optimized geometry); values from VASP
! * calculated density: 5.01 g/cm3
! * space group: No. 221
! * total magnetization: 0.00 μB/f.u.
&SYSTEM
  ibrav = 0, nat = 5, ntyp = 3
/
ATOMIC_SPECIES
P 30.97 P.upf
Si 28.09 Si.upf
Cu 63.55 Cu.upf
CELL_PARAMETERS angstrom
-4.146 -1.205 -0.596
0.523 -3.225 2.885
-1.239 2.673 3.212
ATOMIC_POSITIONS crystal
P 0.000 0.000 0.000
Si 0.500 0.500 0.500
Cu 0.000 0.500 0.000
Cu 0.000 0.000 0.500
Cu 0.500 0.000 0.000

---

Relative energies, in meV/atom, with the most stable structure set to zero: model one 272; model two 0.

---

Model one:
! CuSnP (PBE, optimized geometry); values from VASP
! * calculated density: 6.24 g/cm3
! * space group: No. 107
! * total magnetization: 0.00 μB/f.u.
&SYSTEM
  ibrav = 0, nat = 3, ntyp = 3
/
ATOMIC_SPECIES
P 30.97 P.upf
Sn 118.71 Sn.upf
Cu 63.55 Cu.upf
CELL_PARAMETERS angstrom
3.769 0.000 0.000
0.000 3.769 0.000
-1.884 -1.884 3.994
ATOMIC_POSITIONS crystal
P 0.639 0.639 0.279
Sn 0.275 0.275 0.550
Cu 0.936 0.936 0.872

---

Model two:
! CuSnP (PBE, optimized geometry); values from VASP
! * calculated density: 6.12 g/cm3
! * space group: No. 187
! * total magnetization: 0.00 μB/f.u.
&SYSTEM
  ibrav = 0, nat = 3, ntyp = 3
/
ATOMIC_SPECIES
P 30.97 P.upf
Sn 118.71 Sn.upf
Cu 63.55 Cu.upf
CELL_PARAMETERS angstrom
4.233 0.000 0.000
0.000 3.972 0.000
0.000 -1.986 3.440
ATOMIC_POSITIONS crystal
P 0.167 0.333 0.667
Sn 0.667 0.667 0.333
Cu 0.166 0.000 0.000

---

Relative energies, in meV/atom, with the most stable structure set to zero: model one 300; model two 0.

---

Model one:
! TaCuP2 (PBE, optimized geometry); values from VASP
! * calculated density: 8.91 g/cm3
! * space group: No. 119
! * total magnetization: 0.00 μB/f.u.
&SYSTEM
  ibrav = 0, nat = 4, ntyp = 3
/
ATOMIC_SPECIES
Cu 63.55 Cu.upf
P 30.97 P.upf
Ta 180.95 Ta.upf
CELL_PARAMETERS angstrom
5.130 0.024 0.000
2.615 4.414 0.000
-3.873 -2.219 2.530
ATOMIC_POSITIONS crystal
Cu 0.750 0.250 0.500
P 0.000 0.000 0.000
P 0.250 0.750 0.500
Ta 0.500 0.500 0.000

---

Model two:
! TaCuP2 (PBE, optimized geometry); values from VASP
! * calculated density: 8.87 g/cm3
! * space group: No. 123
! * total magnetization: 0.00 μB/f.u.
&SYSTEM
  ibrav = 0, nat = 4, ntyp = 3
/
ATOMIC_SPECIES
Cu 63.55 Cu.upf
P 30.97 P.upf
Ta 180.95 Ta.upf
CELL_PARAMETERS angstrom
-1.131 1.333 2.732
-2.308 -2.274 0.154
3.327 -3.178 2.927
ATOMIC_POSITIONS crystal
Cu 0.500 0.500 0.750
P 0.000 0.000 0.007
P 0.000 0.000 0.493
Ta 0.500 0.500 0.250

---

Model three:
! TaCuP2 (PBE, optimized geometry); values from VASP
! * calculated density: 8.98 g/cm3
! * space group: No. 139
! * total magnetization: 0.00 μB/f.u.
&SYSTEM
  ibrav = 0, nat = 4, ntyp = 3
/
ATOMIC_SPECIES
Cu 63.55 Cu.upf
P 30.97 P.upf
Ta 180.95 Ta.upf
CELL_PARAMETERS angstrom
4.567 -0.007 0.000
1.135 4.424 0.000
-2.851 -2.209 2.803
ATOMIC_POSITIONS crystal
Cu 0.750 0.250 0.500
P 0.000 0.000 0.000
P 0.500 0.500 0.000
Ta 0.250 0.750 0.500

---

Relative energies, in meV/atom, with the most stable structure set to zero: model one 136; model two 0; model three 247.